A:
DFT (GGA-PBE) results for an optimized crystal structure of Zr2MnRu2.

Structure (extended XYZ):
```
10
Lattice="6.343 0.000 0.000 0.000 6.343 0.000 0.000 0.000 4.307" Properties=species:S:1:pos:R:3 pbc="T T T"
Ru 2.259 5.430 0.000
Ru 5.430 4.085 0.000
Ru 4.085 0.913 0.000
Ru 0.913 2.259 0.000
Mn 0.000 0.000 0.000
Mn 3.172 3.172 0.000
Zr 1.132 4.304 2.154
Zr 4.304 5.212 2.154
Zr 5.212 2.040 2.154
Zr 2.040 1.132 2.154
```

Calculated values
- Total magnetization: 0.0 μB/cell

***

B:
DFT (GGA-PBE) results for an optimized crystal structure of Zr2MnRu2.

Structure (extended XYZ):
```
5
Lattice="4.398 0.000 0.000 0.000 4.398 0.000 2.199 2.199 5.253" Properties=species:S:1:pos:R:3 pbc="T T T"
Ru 2.199 2.199 1.190
Ru 4.398 4.398 4.063
Mn 0.000 0.000 0.000
Zr 4.398 2.199 2.626
Zr 2.199 4.398 2.626
```

Calculated values
- Total magnetization: 0.4 μB/cell

***

Energies, relative to the best one, in meV per atom: A 0; B 845.

***

A:
DFT (GGA-PBE) results for an optimized crystal structure of MnSb3S.

Structure (extended XYZ):
```
5
Lattice="-0.558 4.775 -1.016 -2.869 -1.148 -3.821 -3.950 0.159 2.918" Properties=species:S:1:pos:R:3 pbc="T T T"
Sb -1.434 -0.574 -1.910
Sb -1.975 0.079 1.459
Sb -0.279 2.388 -0.508
S -3.689 1.893 -0.959
Mn 0.000 0.000 0.000
```

Calculated values
- Total magnetization: 1.1 μB/cell

***

B:
DFT (GGA-PBE) results for an optimized crystal structure of MnSb3S.

Structure (extended XYZ):
```
5
Lattice="5.118 0.000 0.000 0.000 5.118 0.000 0.000 0.000 5.118" Properties=species:S:1:pos:R:3 pbc="T T T"
Sb 0.000 2.559 0.000
Sb 0.000 0.000 2.559
Sb 2.559 0.000 0.000
S 0.000 0.000 0.000
Mn 2.559 2.559 2.559
```

Calculated values
- Total magnetization: 0.1 μB/cell

***

Energies, relative to the best one, in meV per atom: A 0; B 832.

***

A:
DFT (GGA-PBE) results for an optimized crystal structure of MnSbTe2S.

Structure (extended XYZ):
```
5
Lattice="-1.967 -4.668 0.957 3.547 -0.743 3.666 -3.185 2.059 3.499" Properties=species:S:1:pos:R:3 pbc="T T T"
Sb -1.593 1.030 1.749
S 0.000 0.000 0.000
Te 1.773 -0.371 1.833
Te -0.983 -2.334 0.478
Mn -0.802 -1.676 4.061
```

Calculated values
- Total magnetization: 0.1 μB/cell

***

B:
DFT (GGA-PBE) results for an optimized crystal structure of MnSbTe2S.

Structure (extended XYZ):
```
5
Lattice="5.006 0.000 0.000 0.000 5.006 0.000 0.000 0.000 5.071" Properties=species:S:1:pos:R:3 pbc="T T T"
Sb 0.000 0.000 2.535
S 2.503 2.503 2.535
Te 0.000 2.503 0.000
Te 2.503 0.000 0.000
Mn 0.000 0.000 0.000
```

Calculated values
- Total magnetization: 2.2 μB/cell

***

Energies, relative to the best one, in meV per atom: A 735; B 0.

***

A:
DFT (GGA-PBE) results for an optimized crystal structure of ScMn2S2.

Structure (extended XYZ):
```
10
Lattice="6.902 0.000 0.000 0.000 6.902 0.000 0.000 0.000 3.228" Properties=species:S:1:pos:R:3 pbc="T T T"
Sc 0.000 0.000 0.000
Sc 3.451 3.451 0.000
S 1.243 4.694 1.614
S 4.694 5.660 1.614
S 5.660 2.209 1.614
S 2.209 1.243 1.614
Mn 2.580 6.031 0.000
Mn 6.031 4.322 0.000
Mn 4.322 0.871 0.000
Mn 0.871 2.580 0.000
```

Calculated values
- Total magnetization: 13.4 μB/cell

***

B:
DFT (GGA-PBE) results for an optimized crystal structure of ScMn2S2.

Structure (extended XYZ):
```
5
Lattice="4.189 0.000 0.000 0.000 4.189 0.000 2.094 2.094 3.951" Properties=species:S:1:pos:R:3 pbc="T T T"
Sc 0.000 0.000 0.000
S 4.189 2.094 1.975
S 2.094 4.189 1.975
Mn 2.094 2.094 1.073
Mn 4.189 4.189 2.878
```

Calculated values
- Total magnetization: 0.0 μB/cell

***

Energies, relative to the best one, in meV per atom: A 233; B 0.